Material: Nd8GaCo2
Method: DFT, PBE
State: relaxed

Values from the calculation:
ΔH_f (0 K): -0.4 eV per formula unit
V: 28.661 Å³/atom

abc: 5.6107 8.0545 8.0545
angles: 115.67 98.47 98.47
Closest atoms and distances in Å follow each position.
Fractional positions:
Nd  0.4374  0.6685  0.9214  2 Co 2.80-2.87
Nd  0.5629  0.3376  0.0847  2 Co 2.80-2.87
Nd  0.5629  0.0847  0.3376  2 Co 2.80-2.87
Nd  0.0001  0.2424  0.7641  2 Co 2.88
Nd  0.4374  0.9214  0.6685  2 Co 2.80-2.87
Nd  0.8116  0.6161  0.6161  1 Ga 3.19, 4 Nd 3.24-3.50, 2 Co 3.37
Nd  0.1882  0.3897  0.3897  1 Ga 3.19, 4 Nd 3.24-3.50, 2 Co 3.38
Nd  0.0001  0.7641  0.2424  2 Co 2.88
Ga  0.9986  0.0031  0.0031  4 Nd 3.19-3.26
Co  0.5002  0.7148  0.2916  6 Nd 2.80-2.88
Co  0.5002  0.2916  0.7148  6 Nd 2.80-2.88


Material: RbNpF3
Method: DFT, PBE
State: relaxed

Values from the calculation:
energy relative to the elements, uncorrected: -253.5 kJ per mole of atoms
V: 22.537 Å³/atom

abc: 4.8301 4.8301 4.8301
angles: 90.00 90.00 90.00
Closest atoms and distances in Å follow each position.
Fractional positions:
F  0.5000  0.0000  0.0000  2 Np 2.42
F  0.0000  0.0000  0.5000  2 Np 2.42
F  0.0000  0.5000  0.0000  2 Np 2.42
Rb  0.5000  0.5000  0.5000  12 F 3.42
Np  0.0000  0.0000  0.0000  6 F 2.42


Material: Si2Ni2Pd
Method: DFT, PBE
State: relaxed

Values from the calculation:
energy relative to the elements, uncorrected: -31.1 kJ per mole of atoms
V: 13.292 Å³/atom

abc: 3.6124 3.6124 5.6977
angles: 71.52 71.52 90.00
Closest atoms and distances in Å follow each position.
Fractional positions:
Ni  0.2500  0.7500  0.5000  4 Si 2.29, 4 Ni 2.55
Ni  0.7500  0.2500  0.5000  4 Si 2.29, 4 Ni 2.55
Si  0.6120  0.6120  0.7759  1 Si 2.28, 4 Ni 2.29
Si  0.3880  0.3880  0.2241  1 Si 2.28, 4 Ni 2.29
Pd  0.0000  0.0000  0.0000  8 Si 2.80, 8 Ni 3.12


Material: CsTiNi3
Method: DFT, PBE
State: relaxed

Values from the calculation:
ΔH_f (0 K): 10.8 eV per formula unit
V: 21.185 Å³/atom
distance to the lowest polymorph of the same formula: 1179 meV/atom

abc: 4.7315 4.7315 4.7315
angles: 90.00 90.00 90.00
Closest atoms and distances in Å follow each position.
Fractional positions:
Cs  0.0000  0.0000  0.0000  6 Ni 2.37
Ni  0.5000  0.0000  0.0000  2 Cs 2.37
Ni  0.0000  0.5000  0.0000  2 Cs 2.37
Ni  0.0000  0.0000  0.5000  2 Cs 2.37
Ti  0.5000  0.5000  0.5000  12 Ni 3.35


Material: V3MoIr6
Method: DFT, PBE
State: relaxed

Values from the calculation:
ΔH_f (0 K): -4.4 eV per formula unit
V: 14.264 Å³/atom

abc: 4.3875 7.2707 9.8595
angles: 114.90 90.00 90.00
Closest atoms and distances in Å follow each position.
Fractional positions:
Ir  0.2500  0.4621  0.0713  7 V 2.67-2.81, 5 Ir 2.70-2.78
Ir  0.7500  0.9341  0.1285  4 V 2.68-2.70, 7 Ir 2.70-2.76, 1 Mo 2.78
Ir  0.7500  0.5379  0.9287  7 V 2.67-2.81, 5 Ir 2.70-2.78
Ir  0.7500  0.3378  0.3278  5 V 2.65-2.80, 6 Ir 2.67-2.77, 1 Mo 2.82
Ir  0.2500  0.2700  0.4720  4 V 2.70-2.73, 5 Ir 2.70-2.81, 3 Mo 2.72-2.73
Ir  0.2500  0.8604  0.2646  4 V 2.62-2.75, 5 Ir 2.71-2.81, 3 Mo 2.72-2.75
Ir  0.7500  0.1396  0.7354  4 V 2.62-2.75, 5 Ir 2.71-2.81, 3 Mo 2.72-2.75
Ir  0.2500  0.1678  0.1700  8 Ir 2.67-2.76, 4 V 2.68-2.76
Ir  0.7500  0.7300  0.5280  4 V 2.70-2.73, 5 Ir 2.70-2.81, 3 Mo 2.72-2.73
Ir  0.2500  0.0659  0.8715  4 V 2.68-2.70, 7 Ir 2.70-2.76, 1 Mo 2.78
Ir  0.2500  0.6622  0.6722  5 V 2.65-2.80, 6 Ir 2.67-2.77, 1 Mo 2.82
Ir  0.7500  0.8322  0.8300  8 Ir 2.67-2.76, 4 V 2.68-2.76
V  0.2500  0.5593  0.3644  9 Ir 2.65-2.80, 2 V 2.75, 1 Mo 2.80
V  0.7500  0.6492  0.2343  8 Ir 2.62-2.78, 1 Mo 2.64, 3 V 2.75-2.83
V  0.7500  0.4407  0.6356  9 Ir 2.65-2.80, 2 V 2.75, 1 Mo 2.80
V  0.2500  0.3508  0.7657  8 Ir 2.62-2.78, 1 Mo 2.64, 3 V 2.75-2.83
V  0.2500  0.7661  0.9656  11 Ir 2.66-2.81, 1 V 2.83
V  0.7500  0.2339  0.0344  11 Ir 2.66-2.81, 1 V 2.83
Mo  0.2500  0.9680  0.5672  2 V 2.64-2.80, 2 Mo 2.70, 8 Ir 2.72-2.82
Mo  0.7500  0.0320  0.4328  2 V 2.64-2.80, 2 Mo 2.70, 8 Ir 2.72-2.82


Material: TmLuMgIr
Method: DFT, PBE
State: relaxed

Values from the calculation:
ΔH_f (0 K): -2.1 eV per formula unit
V: 21.270 Å³/atom

abc: 4.9368 4.9368 4.9368
angles: 60.00 60.00 60.00
Closest atoms and distances in Å follow each position.
Fractional positions:
Mg  0.5000  0.5000  0.5000  4 Tm 3.02, 4 Lu 3.02
Tm  0.7500  0.7500  0.7500  4 Mg 3.02, 4 Ir 3.02
Ir  0.0000  0.0000  0.0000  4 Tm 3.02, 4 Lu 3.02
Lu  0.2500  0.2500  0.2500  4 Ir 3.02, 4 Mg 3.02


Material: RbTh2Ag2S6
Method: DFT, PBE
State: relaxed

Values from the calculation:
energy relative to the elements, uncorrected: -112.5 kJ per mole of atoms
V: 30.208 Å³/atom

abc: 7.5018 8.4527 7.8209
angles: 123.56 96.24 56.83
Closest atoms and distances in Å follow each position.
Fractional positions:
Th  0.8223  0.3551  0.8382  6 S 2.77-2.85
Th  0.1777  0.6449  0.1618  6 S 2.77-2.85
S  0.3901  0.7608  0.0278  1 Ag 2.55, 2 Th 2.78-2.79
S  0.0174  0.5422  0.8070  1 Ag 2.47, 1 Th 2.77
S  0.1936  0.8733  0.5892  1 Ag 2.41
S  0.8064  0.1267  0.4108  1 Ag 2.41
S  0.9826  0.4578  0.1930  1 Ag 2.47, 1 Th 2.77
S  0.6099  0.2392  0.9722  1 Ag 2.55, 2 Th 2.78-2.79
Ag  0.1556  0.7292  0.7659  3 S 2.41-2.55
Ag  0.8444  0.2708  0.2341  3 S 2.41-2.55
Rb  0.5000  0.0000  0.5000  6 S 3.28-3.38


Material: Zr2TiSe6
Method: DFT, PBE
State: relaxed

Values from the calculation:
energy relative to the elements, uncorrected: -108.6 kJ per mole of atoms
V: 22.762 Å³/atom
distance to the lowest polymorph of the same formula: 121 meV/atom

abc: 6.2363 6.7993 9.6660
angles: 90.00 91.56 90.00
Closest atoms and distances in Å follow each position.
Fractional positions:
Se  0.6701  0.1713  0.9237  1 Ti 2.59, 2 Zr 2.72-2.75
Se  0.3326  0.8129  0.4299  1 Ti 2.54, 2 Zr 2.74-2.80
Se  0.6660  0.4540  0.2427  1 Ti 2.56, 2 Zr 2.68-2.72
Se  0.8326  0.6871  0.9299  1 Ti 2.54, 2 Zr 2.74-2.80
Se  0.8340  0.9540  0.2573  1 Ti 2.56, 2 Zr 2.68-2.72
Se  0.1660  0.0460  0.7427  1 Ti 2.56, 2 Zr 2.68-2.72
Se  0.8299  0.6713  0.5763  1 Ti 2.59, 2 Zr 2.72-2.75
Se  0.3340  0.5460  0.7573  1 Ti 2.56, 2 Zr 2.68-2.72
Se  0.1701  0.3287  0.4237  1 Ti 2.59, 2 Zr 2.72-2.75
Se  0.1674  0.3129  0.0701  1 Ti 2.54, 2 Zr 2.74-2.80
Se  0.3299  0.8287  0.0763  1 Ti 2.59, 2 Zr 2.72-2.75
Se  0.6674  0.1871  0.5701  1 Ti 2.54, 2 Zr 2.74-2.80
Zr  0.5611  0.8790  0.7377  6 Se 2.68-2.80
Zr  0.9389  0.3790  0.7623  6 Se 2.68-2.80
Zr  0.0611  0.6210  0.2377  6 Se 2.68-2.80
Zr  0.4389  0.1210  0.2623  6 Se 2.68-2.80
Ti  0.0000  0.0000  0.5000  6 Se 2.54-2.59
Ti  0.5000  0.5000  0.0000  6 Se 2.54-2.59


Material: Nd7Dy4Y
Method: DFT, PBE
State: relaxed

Values from the calculation:
ΔH_f (0 K): 0.1 eV per formula unit
V: 33.876 Å³/atom
distance to the lowest polymorph of the same formula: 0 meV/atom

abc: 7.3115 6.3393 11.6085
angles: 79.53 50.99 90.00
Closest atoms and distances in Å follow each position.
Fractional positions:
Nd  0.7457  0.5010  0.0015  3 Dy 3.59-3.62, 7 Nd 3.62-3.70, 2 Y 3.66-3.68
Nd  0.9170  0.7205  0.3346  6 Dy 3.58-3.69, 5 Nd 3.59-3.68, 1 Y 3.62
Nd  0.5000  0.0000  0.0000  4 Dy 3.59-3.61, 6 Nd 3.61-3.66, 2 Y 3.66
Nd  0.0830  0.2795  0.6654  6 Dy 3.58-3.69, 5 Nd 3.59-3.68, 1 Y 3.62
Nd  0.2543  0.4990  0.9985  3 Dy 3.59-3.62, 7 Nd 3.62-3.70, 2 Y 3.66-3.68
Nd  0.6652  0.2226  0.3348  6 Nd 3.59-3.68, 5 Dy 3.61-3.67, 1 Y 3.62
Nd  0.3348  0.7774  0.6652  6 Nd 3.59-3.68, 5 Dy 3.61-3.67, 1 Y 3.62
Dy  0.1653  0.2201  0.3349  4 Dy 3.57-3.66, 8 Nd 3.58-3.66
Dy  0.5855  0.2776  0.6671  8 Nd 3.59-3.69, 3 Dy 3.59-3.66, 1 Y 3.61
Dy  0.4145  0.7224  0.3329  8 Nd 3.59-3.69, 3 Dy 3.59-3.66, 1 Y 3.61
Dy  0.8347  0.7799  0.6651  4 Dy 3.57-3.66, 8 Nd 3.58-3.66
Y  0.0000  0.0000  0.0000  2 Dy 3.61, 10 Nd 3.62-3.68


Material: HoSc2Te
Method: DFT, PBE
State: relaxed

Values from the calculation:
energy relative to the elements, uncorrected: -47.5 kJ per mole of atoms
V: 25.125 Å³/atom
distance to the lowest polymorph of the same formula: 144 meV/atom

abc: 3.7456 3.7456 7.1636
angles: 90.00 90.00 90.00
Closest atoms and distances in Å follow each position.
Fractional positions:
Ho  0.5000  0.5000  0.5000  8 Sc 3.31, 2 Te 3.58
Te  0.5000  0.5000  0.0000  8 Sc 3.10
Sc  0.0000  0.0000  0.2239  4 Te 3.10, 1 Sc 3.21, 4 Ho 3.31
Sc  0.0000  0.0000  0.7761  4 Te 3.10, 1 Sc 3.21, 4 Ho 3.31


Material: Pm2Re3Mo
Method: DFT, PBE
State: relaxed

Values from the calculation:
ΔH_f (0 K): 0.1 eV per formula unit
V: 19.732 Å³/atom

abc: 5.4842 5.4842 5.5348
angles: 90.14 119.67 119.86
Closest atoms and distances in Å follow each position.
Fractional positions:
Mo  0.0000  0.0000  0.0000  6 Re 2.77
Pm  0.7513  0.3760  0.1273  3 Mo 3.22, 9 Re 3.22-3.26, 4 Pm 3.37-3.38
Pm  0.2487  0.6240  0.8727  3 Mo 3.22, 9 Re 3.22-3.26, 4 Pm 3.37-3.38
Re  0.5000  0.0000  0.5000  4 Re 2.74, 2 Mo 2.77
Re  0.0000  0.0000  0.5000  4 Re 2.74-2.75, 2 Mo 2.77
Re  0.5000  0.5000  0.5000  4 Re 2.74-2.75, 2 Mo 2.77


Material: CuBiPd4
Method: DFT, PBE
State: relaxed

Values from the calculation:
ΔH_f (0 K): -0.6 eV per formula unit
V: 17.045 Å³/atom
distance to the lowest polymorph of the same formula: 54 meV/atom

abc: 8.9468 5.5150 5.5150
angles: 117.76 63.14 116.86
Closest atoms and distances in Å follow each position.
Fractional positions:
Cu  0.5000  0.2500  0.2500  8 Pd 2.69-2.77, 2 Bi 2.85
Cu  0.0000  0.0000  0.0000  8 Pd 2.69-2.77, 2 Bi 2.85
Pd  0.6864  0.0971  0.3952  2 Cu 2.69-2.77, 6 Pd 2.78-2.92, 2 Bi 2.79-2.82
Pd  0.3136  0.3952  0.0971  2 Cu 2.69-2.77, 6 Pd 2.78-2.92, 2 Bi 2.79-2.82
Pd  0.1864  0.3317  0.6607  2 Cu 2.69-2.77, 6 Pd 2.78-2.92, 2 Bi 2.79-2.82
Pd  0.1864  0.8548  0.1529  2 Cu 2.69-2.77, 6 Pd 2.78-2.92, 2 Bi 2.79-2.82
Pd  0.8136  0.1529  0.8548  2 Cu 2.69-2.77, 6 Pd 2.78-2.92, 2 Bi 2.79-2.82
Pd  0.8136  0.6607  0.3317  2 Cu 2.69-2.77, 6 Pd 2.78-2.92, 2 Bi 2.79-2.82
Pd  0.3136  0.9183  0.5893  2 Cu 2.69-2.77, 6 Pd 2.78-2.92, 2 Bi 2.79-2.82
Pd  0.6864  0.5893  0.9183  2 Cu 2.69-2.77, 6 Pd 2.78-2.92, 2 Bi 2.79-2.82
Bi  0.5000  0.7500  0.7500  8 Pd 2.79-2.82, 2 Cu 2.85
Bi  0.0000  0.5000  0.5000  8 Pd 2.79-2.82, 2 Cu 2.85